1.
Material: Si2RhW
Method: DFT, GGA-PBE
State: optimized geometry

Cell: 8.170 2.741 5.180 Å, 90.00 103.13 90.00°
Space group C2/m (No. 12)
Unique sites:
Si: 0.243 0.000 0.246
Rh: 0.000 0.500 0.000
W: 0.000 0.000 0.500

Properties
* formation energy (no corrections): -0.216 eV/atom
* VASP energy: -8.003 eV/atom
* energy above the most stable polymorph in this dataset: 148 meV/atom
* magnetization: 0.00 μB/f.u.
* density: 10.08 g/cm3

***

2.
Material: SiRh3W
Method: DFT, GGA-PBE
State: optimized geometry

Cell: 4.355 4.355 4.355 Å, 90.00 90.00 90.00°
Space group Pm-3m (No. 221)
Unique sites:
Si: 0.000 0.000 0.000
Rh: 0.000 0.000 0.500
W: 0.500 0.500 0.500

Properties
* formation energy (no corrections): 0.617 eV/atom
* VASP energy: -7.469 eV/atom
* energy above the most stable polymorph in this dataset: 0 meV/atom
* magnetization: 2.98 μB/f.u.
* density: 10.47 g/cm3

***

3.
Material: SiRh3W
Method: DFT, GGA-PBE
State: optimized geometry

Cell: 4.698 4.698 4.698 Å, 90.00 90.00 90.00°
Space group Pm-3m (No. 221)
Unique sites:
Si: 0.000 0.000 0.000
Rh: 0.000 0.500 0.500
W: 0.500 0.500 0.500

Properties
* formation energy (no corrections): 1.288 eV/atom
* VASP energy: -6.798 eV/atom
* energy above the most stable polymorph in this dataset: 671 meV/atom
* magnetization: 0.00 μB/f.u.
* density: 8.34 g/cm3

***

Look up the formation energy (no corrections) of the second one.
0.617 eV/atom